1.
## Lu2MgTa (PBE-GGA)

Data for Lu2MgTa after structural relaxation.

Values from the calculation:
- Space group: No. 123
- Total moment: 0.0 μB per formula unit
- Energy: -5.49 eV/atom

POSCAR file:
```
Lu2MgTa
1.0
3.171 0.000 0.000
0.000 3.171 0.000
0.000 0.000 9.709
Lu Mg Ta
2 1 1
Cartesian
0.000 0.000 2.196
0.000 0.000 7.513
1.585 1.585 4.855
1.585 1.585 0.000
```

***

2.
## TbLuMg (PBE-GGA)

Data for TbLuMg after structural relaxation.

Values from the calculation:
- Space group: No. 156
- Total moment: 0.0 μB per formula unit
- E above lowest polymorph: 82 meV per atom

POSCAR file:
```
TbLuMg
1.0
5.403 0.000 0.000
-2.701 4.679 0.000
0.000 0.000 3.349
Tb Lu Mg
1 1 1
Cartesian
0.000 0.000 0.000
0.000 3.119 1.920
2.701 1.560 1.036
```

***

3.
## TbLuMg (PBE-GGA)

Data for TbLuMg after structural relaxation.

Values from the calculation:
- Space group: No. 107
- Total moment: 0.5 μB per formula unit
- E above lowest polymorph: 0 meV per atom

POSCAR file:
```
TbLuMg
1.0
-1.774 1.774 6.735
1.774 -1.774 6.735
1.774 1.774 -6.735
Tb Lu Mg
1 1 1
Cartesian
0.000 0.000 0.000
0.000 0.000 4.370
0.000 0.000 8.968
```

***

4.
## TbLuMg4 (PBE-GGA)

Data for TbLuMg4 after structural relaxation.

Values from the calculation:
- Space group: No. 216
- Total moment: 0.0 μB per formula unit
- Energy: -2.64 eV/atom

POSCAR file:
```
TbLuMg4
1.0
0.000 4.247 4.247
4.247 0.000 4.247
4.247 4.247 0.000
Tb Lu Mg
1 1 4
Cartesian
0.000 0.000 0.000
6.371 6.371 6.371
3.185 3.185 3.185
5.309 5.309 3.185
5.309 3.185 5.309
3.185 5.309 5.309
```

***

5.
## TbLu2Mg (PBE-GGA)

Data for TbLu2Mg after structural relaxation.

Values from the calculation:
- Space group: No. 225
- Total moment: 0.0 μB per formula unit
- E above lowest polymorph: 115 meV per atom

POSCAR file:
```
TbLu2Mg
1.0
0.000 3.845 3.845
3.845 0.000 3.845
3.845 3.845 0.000
Tb Lu Mg
1 2 1
Cartesian
0.000 0.000 0.000
1.922 1.922 1.922
5.767 5.767 5.767
3.845 3.845 3.845
```

***

6.
## TbLu2Mg (PBE-GGA)

Data for TbLu2Mg after structural relaxation.

Values from the calculation:
- Space group: No. 123
- Total moment: 0.0 μB per formula unit
- E above lowest polymorph: 55 meV per atom

POSCAR file:
```
TbLu2Mg
1.0
4.834 0.000 0.000
0.000 4.834 0.000
0.000 0.000 4.892
Tb Lu Mg
1 2 1
Cartesian
0.000 0.000 0.000
0.000 2.417 2.446
2.417 0.000 2.446
2.417 2.417 0.000
```

***

7.
## TbLu2Mg (PBE-GGA)

Data for TbLu2Mg after structural relaxation.

Values from the calculation:
- Space group: No. 123
- Total moment: 0.0 μB per formula unit
- E above lowest polymorph: 0 meV per atom

POSCAR file:
```
TbLu2Mg
1.0
3.512 0.000 0.000
0.000 3.512 0.000
0.000 0.000 9.265
Tb Lu Mg
1 2 1
Cartesian
0.000 0.000 0.000
1.756 1.756 2.436
1.756 1.756 6.828
0.000 0.000 4.632
```

***

8.
## TbLuThMg (PBE-GGA)

Data for TbLuThMg after structural relaxation.

Values from the calculation:
- Space group: No. 216
- Total moment: 0.0 μB per formula unit
- Energy: -4.46 eV/atom

POSCAR file:
```
TbLuThMg
1.0
0.000 3.886 3.886
3.886 0.000 3.886
3.886 3.886 0.000
Tb Lu Th Mg
1 1 1 1
Cartesian
0.000 0.000 0.000
1.943 1.943 1.943
3.886 3.886 3.886
5.828 5.828 5.828
```

***

9.
## TbLuMgTi (PBE-GGA)

Data for TbLuMgTi after structural relaxation.

Values from the calculation:
- Space group: No. 216
- Total moment: 2.2 μB per formula unit
- Energy: -4.51 eV/atom

POSCAR file:
```
TbLuMgTi
1.0
0.000 3.690 3.690
3.690 0.000 3.690
3.690 3.690 0.000
Tb Lu Mg Ti
1 1 1 1
Cartesian
0.000 0.000 0.000
3.690 3.690 3.690
1.845 1.845 1.845
5.535 5.535 5.535
```

***

10.
## TbLuMgZn (PBE-GGA)

Data for TbLuMgZn after structural relaxation.

Values from the calculation:
- Space group: No. 216
- Total moment: 0.0 μB per formula unit
- Energy: -3.18 eV/atom

POSCAR file:
```
TbLuMgZn
1.0
0.000 3.644 3.644
3.644 0.000 3.644
3.644 3.644 0.000
Tb Lu Mg Zn
1 1 1 1
Cartesian
0.000 0.000 0.000
3.644 3.644 3.644
5.467 5.467 5.467
1.822 1.822 1.822
```

***

11.
## TbLuMgZr (PBE-GGA)

Data for TbLuMgZr after structural relaxation.

Values from the calculation:
- Space group: No. 216
- Total moment: 2.0 μB per formula unit
- Energy: -4.69 eV/atom

POSCAR file:
```
TbLuMgZr
1.0
0.000 3.760 3.760
3.760 0.000 3.760
3.760 3.760 0.000
Tb Lu Mg Zr
1 1 1 1
Cartesian
0.000 0.000 0.000
3.760 3.760 3.760
1.880 1.880 1.880
5.640 5.640 5.640
```

***

12.
## LuThMgTc (PBE-GGA)

Data for LuThMgTc after structural relaxation.

Values from the calculation:
- Space group: No. 216
- Total moment: 0.0 μB per formula unit
- Energy: -5.99 eV/atom

POSCAR file:
```
LuThMgTc
1.0
0.000 3.593 3.593
3.593 0.000 3.593
3.593 3.593 0.000
Lu Th Mg Tc
1 1 1 1
Cartesian
0.000 0.000 0.000
3.593 3.593 3.593
5.390 5.390 5.390
1.797 1.797 1.797
```

***

13.
## TmLuMgTc (PBE-GGA)

Data for TmLuMgTc after structural relaxation.

Values from the calculation:
- Space group: No. 216
- Total moment: 0.0 μB per formula unit
- Energy: -5.29 eV/atom

POSCAR file:
```
TmLuMgTc
1.0
0.000 3.503 3.503
3.503 0.000 3.503
3.503 3.503 0.000
Tm Lu Mg Tc
1 1 1 1
Cartesian
0.000 0.000 0.000
3.503 3.503 3.503
1.751 1.751 1.751
5.254 5.254 5.254
```

***

14.
## LuMgTe2 (PBE-GGA)

Data for LuMgTe2 after structural relaxation.

Values from the calculation:
- Space group: No. 166
- Total moment: 0.0 μB per formula unit
- Formation energy without anion corrections: -940 meV per atom

POSCAR file:
```
LuMgTe2
1.0
2.079 1.200 7.413
-2.079 1.200 7.413
0.000 -2.400 7.413
Lu Mg Te
1 1 2
Cartesian
0.000 0.000 0.000
0.000 0.000 11.119
0.000 0.000 5.522
0.000 0.000 16.716
```

***

15.
## Lu2MgTe (PBE-GGA)

Data for Lu2MgTe after structural relaxation.

Values from the calculation:
- Space group: No. 166
- Total moment: 0.0 μB per formula unit
- E above lowest polymorph: 369 meV per atom
- Formation energy without anion corrections: -124 meV per atom

POSCAR file:
```
Lu2MgTe
1.0
1.878 1.084 10.579
-1.878 1.084 10.579
0.000 -2.168 10.579
Lu Mg Te
2 1 1
Cartesian
0.000 0.000 3.214
0.000 0.000 28.523
0.000 0.000 0.000
0.000 0.000 15.868
```

***

16.
## Lu2MgTe (PBE-GGA)

Data for Lu2MgTe after structural relaxation.

Values from the calculation:
- Space group: No. 123
- Total moment: 0.0 μB per formula unit
- E above lowest polymorph: 0 meV per atom
- Formation energy without anion corrections: -493 meV per atom

POSCAR file:
```
Lu2MgTe
1.0
3.806 0.000 0.000
0.000 3.806 0.000
0.000 0.000 7.071
Lu Mg Te
2 1 1
Cartesian
0.000 0.000 1.764
0.000 0.000 5.307
1.903 1.903 3.535
1.903 1.903 0.000
```

***

17.
## LuThMg2 (PBE-GGA)

Data for LuThMg2 after structural relaxation.

Values from the calculation:
- Space group: No. 166
- Total moment: 0.0 μB per formula unit
- E above lowest polymorph: 62 meV per atom

POSCAR file:
```
LuThMg2
1.0
1.694 0.978 11.248
-1.694 0.978 11.248
0.000 -1.956 11.248
Lu Th Mg
1 1 2
Cartesian
0.000 0.000 0.000
0.000 0.000 16.872
0.000 0.000 8.536
0.000 0.000 25.207
```

***

18.
## LuThMg4 (PBE-GGA)

Data for LuThMg4 after structural relaxation.

Values from the calculation:
- Space group: No. 216
- Total moment: 0.0 μB per formula unit
- Energy: -3.05 eV/atom

POSCAR file:
```
LuThMg4
1.0
0.000 4.246 4.246
4.246 0.000 4.246
4.246 4.246 0.000
Lu Th Mg
1 1 4
Cartesian
0.000 0.000 0.000
2.123 2.123 2.123
5.310 3.182 3.182
3.182 5.310 3.182
3.182 3.182 5.310
5.310 5.310 5.310
```

***

19.
## LuThMg2 (PBE-GGA)

Data for LuThMg2 after structural relaxation.

Values from the calculation:
- Space group: No. 225
- Total moment: 0.0 μB per formula unit
- E above lowest polymorph: 0 meV per atom

POSCAR file:
```
LuThMg2
1.0
0.000 3.780 3.780
3.780 0.000 3.780
3.780 3.780 0.000
Lu Th Mg
1 1 2
Cartesian
0.000 0.000 0.000
3.780 3.780 3.780
1.890 1.890 1.890
5.669 5.669 5.669
```

***

20.
## LuThMg2 (PBE-GGA)

Data for LuThMg2 after structural relaxation.

Values from the calculation:
- Space group: No. 123
- Total moment: 0.0 μB per formula unit
- E above lowest polymorph: 20 meV per atom

POSCAR file:
```
LuThMg2
1.0
3.487 0.000 0.000
0.000 3.487 0.000
0.000 0.000 8.943
Lu Th Mg
1 1 2
Cartesian
0.000 0.000 0.000
0.000 0.000 4.472
1.743 1.743 2.122
1.743 1.743 6.821
```